This record from the Alexandria database describes a relaxed structure of Re2MoRh. The functional is PBE.

The value obtained for the density of states at the Fermi level is 3.5 states/eV/cell. Its final energy is -10.77 eV/atom. As for the formation energy: -1 meV/atom.

It has space group Pmm2 (No. 25), with a = 2.756 Å, b = 3.924 Å, c = 5.561 Å, α = 90.00°, β = 90.00° and γ = 90.00°. Symmetry generates all atoms from Re at (0.000, 0.000, 0.000), Re at (0.500, 0.500, 0.228), Mo at (0.500, 0.500, 0.740) and Rh at (0.000, 0.000, 0.490).

---

This record from the Alexandria database describes a relaxed structure of GaAgPtPb2. The functional is PBE.

The value obtained for the density of states at the Fermi level is 1.5 states/eV/cell. Its final energy is -3.99 eV/atom. As for the formation energy: -119 meV/atom.

It has space group Pm (No. 6), with a = 3.369 Å, b = 3.798 Å, c = 9.457 Å, α = 90.00°, β = 99.86° and γ = 90.00°. Symmetry generates all atoms from Ga at (0.000, 0.000, 0.000), Ag at (0.885, 0.500, 0.760), Pt at (0.505, 0.500, 0.011), Pb at (0.290, 0.000, 0.565) and Pb at (0.670, 0.500, 0.311).

---

This record from the Alexandria database describes a relaxed structure of CdFe2NiPb. The functional is PBE.

The value obtained for the density of states at the Fermi level is 3.7 states/eV/cell. Its final energy is -4.70 eV/atom. As for the formation energy: 768 meV/atom.

It has space group P4/mmm (No. 123), with a = 4.581 Å, b = 4.581 Å, c = 4.825 Å, α = 90.00°, β = 90.00° and γ = 90.00°. Symmetry generates all atoms from Cd at (0.000, 0.000, 0.000), Fe at (0.000, 0.500, 0.500), Ni at (0.500, 0.500, 0.500) and Pb at (0.500, 0.500, 0.000).

---

This record from the Alexandria database describes a relaxed structure of Cu2SnSe3. The functional is PBE.

Its formation energy without anion corrections is -242 meV per atom. The value obtained for the density of states at the Fermi level is 4.8 states/eV/cell. Its final energy is -4.02 eV/atom.

It has space group C2/m (No. 12), with a = 20.936 Å, b = 4.148 Å, c = 6.751 Å, α = 90.00°, β = 94.83° and γ = 90.00°. Symmetry generates all atoms from Cu at (0.066, 0.000, 0.346), Cu at (0.223, 0.500, 0.400), Sn at (0.124, 0.500, 0.868), Se at (0.055, 0.000, 0.706), Se at (0.112, 0.500, 0.253) and Se at (0.240, 0.500, 0.761).

---

This record from the Alexandria database describes a relaxed structure of GePdBrF6. The functional is PBE.

Its formation energy without anion corrections is -1519 meV per atom. The value obtained for the density of states at the Fermi level is 6.8 states/eV/cell. Its final energy is -4.04 eV/atom.

It has space group P312 (No. 149), with a = 5.5265 Å, b = 5.5265 Å, c = 6.9446 Å, α = 90.00°, β = 90.00° and γ = 120.00°. Symmetry generates all atoms from Ge at (0.0000, 0.0000, 0.0000), Pd at (0.6667, 0.3333, 0.0000), Br at (0.3333, 0.6667, 0.5000) and F at (0.2813, 0.0116, 0.1496).

---

This record from the Alexandria database describes a relaxed structure of Ba2ZnW. The functional is PBE.

The value obtained for the density of states at the Fermi level is 3.4 states/eV/cell. Its final energy is -3.54 eV/atom. As for the formation energy: 974 meV/atom.

It has space group P4/mmm (No. 123), with a = 5.750 Å, b = 5.750 Å, c = 3.884 Å, α = 90.00°, β = 90.00° and γ = 90.00°. Symmetry generates all atoms from Ba at (0.000, 0.500, 0.000), Zn at (0.000, 0.000, 0.500) and W at (0.500, 0.500, 0.500).

---

Repeat the fourth record exactly.
This record from the Alexandria database describes a relaxed structure of Cu2SnSe3. The functional is PBE.

Its formation energy without anion corrections is -242 meV per atom. The value obtained for the density of states at the Fermi level is 4.8 states/eV/cell. Its final energy is -4.02 eV/atom.

It has space group C2/m (No. 12), with a = 20.936 Å, b = 4.148 Å, c = 6.751 Å, α = 90.00°, β = 94.83° and γ = 90.00°. Symmetry generates all atoms from Cu at (0.066, 0.000, 0.346), Cu at (0.223, 0.500, 0.400), Sn at (0.124, 0.500, 0.868), Se at (0.055, 0.000, 0.706), Se at (0.112, 0.500, 0.253) and Se at (0.240, 0.500, 0.761).